(1)
Below is a crystal of GdPaRu2 relaxed with PBEsol, with properties calculated at the SCAN level.

a = 6.753 Å, b = 6.753 Å, c = 6.753 Å
α = 90.00°, β = 90.00°, γ = 90.00°
Space group Fm-3m (No. 225)
Inequivalent atoms, fractional coordinates:
Gd  0.000  0.000  0.000 [4 per cell]
Pa  0.000  0.000  0.500 [4 per cell]
Ru  0.250  0.250  0.250 [8 per cell]

- calculated formation energy (meV per atom) = -343



(2)
Below is a crystal of GdPb relaxed with PBEsol, with properties calculated at the SCAN level.

a = 4.523 Å, b = 11.558 Å, c = 4.375 Å
α = 90.00°, β = 90.00°, γ = 90.00°
Space group Cmcm (No. 63)
Inequivalent atoms, fractional coordinates:
Gd  0.000  0.131  0.250 [4 per cell]
Pb  0.000  0.401  0.250 [4 per cell]

- calculated formation energy (meV per atom) = -696



(3)
Below is a crystal of Gd2PdRh relaxed with PBEsol, with properties calculated at the SCAN level.

a = 6.876 Å, b = 6.876 Å, c = 6.876 Å
α = 90.00°, β = 90.00°, γ = 90.00°
Space group Fm-3m (No. 225)
Inequivalent atoms, fractional coordinates:
Gd  0.250  0.250  0.250 [8 per cell]
Pd  0.000  0.000  0.000 [4 per cell]
Rh  0.000  0.000  0.500 [4 per cell]

- calculated formation energy (meV per atom) = -835



- Look up the calculated formation energy of the first one.
  -343 meV per atom



- What is the calculated formation energy in the second record?
  -696 meV per atom



Please write out number 3 again, unchanged.
Below is a crystal of Gd2PdRh relaxed with PBEsol, with properties calculated at the SCAN level.

a = 6.876 Å, b = 6.876 Å, c = 6.876 Å
α = 90.00°, β = 90.00°, γ = 90.00°
Space group Fm-3m (No. 225)
Inequivalent atoms, fractional coordinates:
Gd  0.250  0.250  0.250 [8 per cell]
Pd  0.000  0.000  0.000 [4 per cell]
Rh  0.000  0.000  0.500 [4 per cell]

- calculated formation energy (meV per atom) = -835



Please write out number 2 again, unchanged.
Below is a crystal of GdPb relaxed with PBEsol, with properties calculated at the SCAN level.

a = 4.523 Å, b = 11.558 Å, c = 4.375 Å
α = 90.00°, β = 90.00°, γ = 90.00°
Space group Cmcm (No. 63)
Inequivalent atoms, fractional coordinates:
Gd  0.000  0.131  0.250 [4 per cell]
Pb  0.000  0.401  0.250 [4 per cell]

- calculated formation energy (meV per atom) = -696